[1]
DFT (meta-GGA SCAN) results for a PBEsol-optimized structure of BaTlHg2.

a b c (Å): 5.4573 5.4573 5.4573
angles (deg): 60.00 60.00 60.00
Fractional positions:
Ba: 0.0000 0.0000 0.0000
Tl: 0.5000 0.5000 0.5000
Hg: 0.2500 0.2500 0.2500
Hg: 0.7500 0.7500 0.7500

Calculated volume = 115 Å³/f.u.
Magnetic moment = 0.00 μB/cell
Fermi-level density of states = 1.9 states/eV/f.u.
Formation energy = -2.0 eV per formula unit

[2]
DFT (meta-GGA SCAN) results for a PBEsol-optimized structure of OsRhW2.

a b c (Å): 3.9151 3.9151 4.7175
angles (deg): 114.52 114.52 90.00
Fractional positions:
Os: 0.5000 0.5000 0.0000
W: 0.2500 0.7500 0.5000
Rh: 0.0000 0.0000 0.0000
W: 0.7500 0.2500 0.5000

Calculated volume = 59 Å³/f.u.
Magnetic moment = 0.00 μB/cell
Fermi-level density of states = 2.7 states/eV/f.u.
Formation energy = -0.3 eV per formula unit

[3]
DFT (meta-GGA SCAN) results for a PBEsol-optimized structure of TaZnIr2.

a b c (Å): 2.8940 3.5316 5.7383
angles (deg): 90.00 90.00 90.00
Fractional positions:
Ta: 0.5000 0.5000 0.0000
Ir: 0.0000 0.0000 0.2578
Ir: 0.0000 0.0000 0.7422
Zn: 0.5000 0.5000 0.5000

Calculated volume = 59 Å³/f.u.
Magnetic moment = 0.00 μB/cell
Fermi-level density of states = 1.8 states/eV/f.u.
Formation energy = -2.5 eV per formula unit

[4]
DFT (meta-GGA SCAN) results for a PBEsol-optimized structure of Ru5W3.

a b c (Å): 3.8348 5.4505 5.4505
angles (deg): 91.06 90.00 90.00
Fractional positions:
Ru: 0.5000 0.7497 0.7497
W: 0.5000 0.2383 0.7617
Ru: 0.0000 0.0000 0.5000
W: 0.0000 0.5000 0.5000
Ru: 0.0000 0.0000 0.0000
Ru: 0.5000 0.2503 0.2503
W: 0.5000 0.7617 0.2383
Ru: 0.0000 0.5000 0.0000

Calculated volume = 114 Å³/f.u.
Magnetic moment = 0.00 μB/cell
Fermi-level density of states = 7.7 states/eV/f.u.
Formation energy = 0.3 eV per formula unit

[5]
DFT (meta-GGA SCAN) results for a PBEsol-optimized structure of TaAu5.

a b c (Å): 2.8292 5.7263 6.7884
angles (deg): 105.67 90.00 104.30
Fractional positions:
Au: 0.3856 0.7712 0.2647
Au: 0.3297 0.6593 0.6796
Au: 0.6710 0.3419 0.3345
Ta: 0.7197 0.4393 0.9436
Au: 0.0092 0.0185 0.0026
Au: 0.0515 0.1031 0.6083

Calculated volume = 102 Å³/f.u.
Magnetic moment = 0.00 μB/cell
Fermi-level density of states = 2.5 states/eV/f.u.
Formation energy = -0.2 eV per formula unit

[6]
DFT (meta-GGA SCAN) results for a PBEsol-optimized structure of YCI2.

a b c (Å): 5.9429 5.9429 7.8246
angles (deg): 112.32 112.32 90.00
Fractional positions:
I: 0.4569 0.8750 0.2500
Y: 0.2500 0.7500 0.5000
I: 0.1250 0.2069 0.7500
Y: 0.0000 0.0000 0.0000
C: 0.7500 0.2500 0.5000
I: 0.6250 0.5431 0.7500
C: 0.5000 0.5000 0.0000
I: 0.7931 0.3750 0.2500

Calculated volume = 117 Å³/f.u.
Magnetic moment = 0.01 μB/cell
Fermi-level density of states = 3.8 states/eV/f.u.
Raw formation energy = 1116.5 meV/atom

[7]
DFT (meta-GGA SCAN) results for a PBEsol-optimized structure of Dy3Ge13Ir4.

a b c (Å): 8.9188 8.9188 8.9188
angles (deg): 90.00 90.00 90.00
Fractional positions:
Ge: 0.3554 0.5000 0.8078
Ir: 0.7500 0.2500 0.7500
Ge: 0.3078 0.0000 0.1446
Ge: 0.0000 0.1446 0.6922
Ge: 0.6922 0.0000 0.8554
Ge: 0.1446 0.3078 0.0000
Ge: 0.5000 0.1922 0.6446
Dy: 0.5000 0.7500 0.0000
Ge: 0.6922 0.0000 0.1446
Ge: 0.0000 0.1446 0.3078
Ir: 0.7500 0.2500 0.2500
Ge: 0.5000 0.8078 0.6446
Ge: 0.1922 0.3554 0.5000
Ge: 0.3554 0.5000 0.1922
Ge: 0.0000 0.8554 0.6922
Ir: 0.2500 0.2500 0.2500
Ge: 0.8554 0.3078 0.0000
Dy: 0.0000 0.5000 0.2500
Ir: 0.2500 0.7500 0.2500
Ge: 0.5000 0.8078 0.3554
Ge: 0.1446 0.6922 0.0000
Dy: 0.7500 0.0000 0.5000
Ge: 0.3078 0.0000 0.8554
Ge: 0.0000 0.8554 0.3078
Ir: 0.7500 0.7500 0.2500
Ir: 0.2500 0.7500 0.7500
Ge: 0.1922 0.6446 0.5000
Dy: 0.2500 0.0000 0.5000
Dy: 0.5000 0.2500 0.0000
Ge: 0.6446 0.5000 0.8078
Ir: 0.2500 0.2500 0.7500
Ge: 0.8078 0.3554 0.5000
Ge: 0.6446 0.5000 0.1922
Ge: 0.5000 0.5000 0.5000
Dy: 0.0000 0.5000 0.7500
Ge: 0.8554 0.6922 0.0000
Ge: 0.5000 0.1922 0.3554
Ge: 0.8078 0.6446 0.5000
Ir: 0.7500 0.7500 0.7500
Ge: 0.0000 0.0000 0.0000

Calculated volume = 355 Å³/f.u.
Magnetic moment = 0.00 μB/cell
Fermi-level density of states = 6.5 states/eV/f.u.
Formation energy = -12.4 eV per formula unit

[8]
DFT (meta-GGA SCAN) results for a PBEsol-optimized structure of NaSr2Mn.

a b c (Å): 5.8036 5.8036 5.8036
angles (deg): 60.00 60.00 60.00
Site moments in Bohr magnetons follow the coordinates.
Fractional positions:
Na: 0.0000 0.0000 0.0000  -0.02
Sr: 0.7500 0.7500 0.7500  -0.03
Sr: 0.2500 0.2500 0.2500  -0.03
Mn: 0.5000 0.5000 0.5000  4.46

Calculated volume = 138 Å³/f.u.
Magnetic moment = 4.55 μB/cell
Fermi-level density of states = 5.2 states/eV/f.u.
Formation energy = 0.8 eV per formula unit

[9]
DFT (meta-GGA SCAN) results for a PBEsol-optimized structure of CrCdRu.

a b c (Å): 2.8567 2.8567 5.7806
angles (deg): 104.31 104.31 90.00
Fractional positions:
Ru: 0.6916 0.6916 0.3832
Cd: 0.9977 0.9977 0.9954
Cr: 0.3107 0.3107 0.6214

Calculated volume = 44 Å³/f.u.
Magnetic moment = 0.00 μB/cell
Fermi-level density of states = 1.5 states/eV/f.u.
Formation energy = 0.7 eV per formula unit

[10]
DFT (meta-GGA SCAN) results for a PBEsol-optimized structure of Y2AsW.

a b c (Å): 4.1728 4.1728 5.6545
angles (deg): 111.65 111.65 90.00
Site moments in Bohr magnetons follow the coordinates.
Fractional positions:
Y: 0.7500 0.2500 0.5000  0.06
Y: 0.0000 0.0000 0.0000  0.10
W: 0.2500 0.7500 0.5000  0.63
As: 0.5000 0.5000 0.0000  0.00

Calculated volume = 84 Å³/f.u.
Magnetic moment = 0.99 μB/cell
Fermi-level density of states = 3.8 states/eV/f.u.
Formation energy = 0.4 eV per formula unit

[11]
DFT (meta-GGA SCAN) results for a PBEsol-optimized structure of V4O7.

a b c (Å): 5.4887 6.7284 6.9774
angles (deg): 64.33 70.53 74.99
Site moments in Bohr magnetons follow the coordinates.
Fractional positions:
V: 0.8136 0.9079 0.2380  1.51
O: 0.4713 0.8965 0.8625  -0.10
O: 0.3546 0.3334 0.5916  -0.10
V: 0.1864 0.0921 0.7620  1.51
O: 0.1706 0.7755 0.2978  -0.02
O: 0.9728 0.8279 0.9809  -0.04
O: 0.0835 0.3905 0.2571  -0.09
O: 0.8294 0.2245 0.7022  -0.02
O: 0.0272 0.1721 0.0191  -0.04
V: 0.7179 0.3708 0.4161  1.64
V: 0.7102 0.3708 0.9189  1.58
O: 0.6454 0.6666 0.4084  -0.10
V: 0.2821 0.6292 0.5839  1.64
O: 0.5287 0.1035 0.1375  -0.10
O: 0.9165 0.6095 0.7429  -0.09
V: 0.8199 0.8968 0.7407  1.45
V: 0.1801 0.1032 0.2593  1.45
O: 0.2063 0.9469 0.5647  -0.04
O: 0.6002 0.4668 0.1609  -0.11
O: 0.7937 0.0531 0.4353  -0.04
V: 0.2898 0.6292 0.0811  1.58
O: 0.3998 0.5332 0.8391  -0.11

Calculated volume = 108 Å³/f.u.
Magnetic moment = 12.00 μB/cell
Fermi-level density of states = 4.9 states/eV/f.u.
Raw formation energy = -2680.1 meV/atom

[12]
DFT (meta-GGA SCAN) results for a PBEsol-optimized structure of NaHfAgF2.

a b c (Å): 4.0243 4.0243 5.6090
angles (deg): 90.00 90.00 90.00
Site moments in Bohr magnetons follow the coordinates.
Fractional positions:
F: 0.5000 0.0000 0.0000  0.00
F: 0.0000 0.5000 0.0000  0.00
Ag: 0.5000 0.5000 0.5000  0.00
Na: 0.0000 0.0000 0.0000  0.02
Hf: 0.0000 0.0000 0.5000  0.58

Calculated volume = 91 Å³/f.u.
Magnetic moment = 0.81 μB/cell
Fermi-level density of states = 3.1 states/eV/f.u.
Raw formation energy = -549.6 meV/atom